Entry 1:
Na2Ti3S6 | PBE | relaxed

Its uncorrected formation energy is -1375 meV per atom.

The structure belongs to space group C2/m (No. 12); the cell edges are 6.006, 10.403 and 7.187 Å and the angles 90.00°, 106.19° and 90.00°. Symmetry generates all atoms from Na at (0.000, 0.167, 0.000), Ti at (0.000, 0.000, 0.500), Ti at (0.000, 0.333, 0.500), S at (0.235, 0.500, 0.708) and S at (0.237, 0.166, 0.708).

Entry 2:
NaTiS | PBE | relaxed

Its uncorrected formation energy is -837 meV per atom.

The structure belongs to space group I4/mmm (No. 139); the cell edges are 3.864, 3.864 and 14.685 Å and the angles 90.00°, 90.00° and 90.00°. Symmetry generates all atoms from Na at (0.000, 0.000, 0.179), Ti at (0.000, 0.500, 0.000) and S at (0.000, 0.000, 0.383).

Entry 3:
NaTiS4 | PBE | relaxed

Its uncorrected formation energy is -791 meV per atom.

The structure belongs to space group P-1 (No. 2); the cell edges are 6.321, 6.393 and 8.149 Å and the angles 110.51°, 110.18° and 96.06°. Symmetry generates all atoms from Na at (0.069, 0.319, 0.140), Ti at (0.249, 0.000, 0.500), S at (0.104, 0.335, 0.661), S at (0.135, 0.095, 0.781), S at (0.355, 0.815, 0.220) and S at (0.444, 0.173, 0.338).

Entry 4:
Na5Ti2S6 | PBE | relaxed

Its uncorrected formation energy is -1253 meV per atom.

The structure belongs to space group C2/c (No. 15); the cell edges are 12.120, 7.028 and 15.365 Å and the angles 90.00°, 99.79° and 90.00°. Symmetry generates all atoms from Na at (0.000, 0.163, 0.250), Na at (0.076, 0.258, 0.016), Na at (0.153, 0.378, 0.728), Ti at (0.223, 0.378, 0.423), S at (0.047, 0.481, 0.373), S at (0.151, 0.009, 0.657) and S at (0.224, 0.043, 0.428).

Entry 5:
NaTiTlS3 | PBE | relaxed

Its uncorrected formation energy is -1054 meV per atom.

The structure belongs to space group C2/c (No. 15); the cell edges are 6.970, 13.578 and 6.496 Å and the angles 90.00°, 102.34° and 90.00°. Symmetry generates all atoms from Na at (0.000, 0.082, 0.250), Ti at (0.000, 0.449, 0.250), Tl at (0.000, 0.261, 0.750), S at (0.000, 0.284, 0.250) and S at (0.222, 0.459, 0.999).

Entry 6:
Na4Tm3TiS8 | PBE | relaxed

Its uncorrected formation energy is -1697 meV per atom.

The structure belongs to space group R-3m (No. 166, hexagonal axes); the cell edges are 7.7093, 7.7093 and 19.9877 Å and the angles 90.00°, 90.00° and 120.00°. Symmetry generates all atoms from Na at (0.0000, 0.0000, 0.0000), Na at (0.0000, 0.5000, 0.0000), Tm at (0.0000, 0.5000, 0.5000), Ti at (0.0000, 0.0000, 0.5000), S at (0.0000, 0.0000, 0.2423) and S at (0.0153, 0.5077, 0.2395).

Entry 7:
Na2Tm2TiS6 | PBE | relaxed

Its uncorrected formation energy is -1656 meV per atom.

The structure belongs to space group C2/m (No. 12); the cell edges are 6.605, 11.292 and 7.109 Å and the angles 90.00°, 108.06° and 90.00°. Symmetry generates all atoms from Na at (0.000, 0.170, 0.000), Tm at (0.000, 0.333, 0.500), Ti at (0.000, 0.000, 0.500), S at (0.227, 0.156, 0.714) and S at (0.234, 0.000, 0.289).

Entry 8:
Na3Tm3TiS8 | PBE | relaxed

Its uncorrected formation energy is -1715 meV per atom.

The structure belongs to space group R-3m (No. 166, hexagonal axes); the cell edges are 7.6784, 7.6784 and 20.2687 Å and the angles 90.00°, 90.00° and 120.00°. Symmetry generates all atoms from Na at (0.0000, 0.5000, 0.0000), Tm at (0.0000, 0.5000, 0.5000), Ti at (0.0000, 0.0000, 0.5000), S at (0.0000, 0.0000, 0.2418) and S at (0.0243, 0.5121, 0.2366).

Entry 9:
Na2UTiS4 | PBE | relaxed

Its uncorrected formation energy is -1345 meV per atom.

The structure belongs to space group P2/m (No. 10); the cell edges are 6.488, 3.814 and 7.102 Å and the angles 90.00°, 107.90° and 90.00°. Symmetry generates all atoms from Na at (0.000, 0.000, 0.000), Na at (0.500, 0.500, 0.000), U at (0.000, 0.500, 0.500), Ti at (0.500, 0.000, 0.500), S at (0.258, 0.000, 0.727) and S at (0.276, 0.500, 0.284).

Entry 10:
Na3U2TiS6 | PBE | relaxed

Its uncorrected formation energy is -1349 meV per atom.

The structure belongs to space group C2/m (No. 12); the cell edges are 6.645, 11.517 and 7.133 Å and the angles 90.00°, 108.15° and 90.00°. Symmetry generates all atoms from Na at (0.000, 0.000, 0.000), Na at (0.000, 0.332, 0.000), U at (0.000, 0.167, 0.500), Ti at (0.000, 0.500, 0.500), S at (0.233, 0.342, 0.725) and S at (0.241, 0.500, 0.276).

Entry 11:
Na2TiV2S6 | PBE | relaxed

Its uncorrected formation energy is -1134 meV per atom.

The structure belongs to space group C2/m (No. 12); the cell edges are 6.025, 10.334 and 7.089 Å and the angles 90.00°, 105.01° and 90.00°. Symmetry generates all atoms from Na at (0.000, 0.173, 0.000), Ti at (0.000, 0.000, 0.500), V at (0.000, 0.348, 0.500), S at (0.227, 0.170, 0.698) and S at (0.229, 0.500, 0.714).

Entry 12:
NaTiVS4 | PBE | relaxed

Its uncorrected formation energy is -1175 meV per atom.

The structure belongs to space group Cm (No. 8); the cell edges are 14.189, 3.431 and 5.888 Å and the angles 90.00°, 97.72° and 90.00°. Symmetry generates all atoms from Na at (0.000, 0.000, 0.000), Ti at (0.250, 0.000, 0.406), V at (0.249, 0.500, 0.885), S at (0.147, 0.000, 0.697), S at (0.150, 0.500, 0.194), S at (0.348, 0.000, 0.090) and S at (0.352, 0.500, 0.595).

Entry 13:
Na4Y3TiS8 | PBE | relaxed

Its uncorrected formation energy is -1688 meV per atom.

The structure belongs to space group R-3m (No. 166, hexagonal axes); the cell edges are 7.7951, 7.7951 and 20.0413 Å and the angles 90.00°, 90.00° and 120.00°. Symmetry generates all atoms from Na at (0.0000, 0.0000, 0.0000), Na at (0.0000, 0.5000, 0.0000), Y at (0.0000, 0.5000, 0.5000), Ti at (0.0000, 0.0000, 0.5000), S at (0.0000, 0.0000, 0.2436) and S at (0.0188, 0.5094, 0.2401).

Entry 14:
Na3Y2TiS6 | PBE | relaxed

Its uncorrected formation energy is -1641 meV per atom.

The structure belongs to space group C2/m (No. 12); the cell edges are 6.697, 11.594 and 7.044 Å and the angles 90.00°, 108.49° and 90.00°. Symmetry generates all atoms from Na at (0.000, 0.000, 0.000), Na at (0.000, 0.331, 0.000), Y at (0.000, 0.167, 0.500), Ti at (0.000, 0.500, 0.500), S at (0.231, 0.343, 0.723) and S at (0.238, 0.500, 0.281).

Entry 15:
Na2Y2TiS6 | PBE | relaxed

Its uncorrected formation energy is -1646 meV per atom.

The structure belongs to space group C2/m (No. 12); the cell edges are 6.695, 11.415 and 7.109 Å and the angles 90.00°, 108.21° and 90.00°. Symmetry generates all atoms from Na at (0.000, 0.170, 0.000), Y at (0.000, 0.334, 0.500), Ti at (0.000, 0.000, 0.500), S at (0.225, 0.154, 0.716) and S at (0.230, 0.000, 0.288).

Entry 16:
NaTiZn2S | PBE | relaxed

Its uncorrected formation energy is 794 meV per atom.

The structure belongs to space group P4/mmm (No. 123); the cell edges are 4.770, 4.770 and 4.699 Å and the angles 90.00°, 90.00° and 90.00°. Symmetry generates all atoms from Na at (0.000, 0.000, 0.000), Ti at (0.500, 0.500, 0.500), Zn at (0.000, 0.500, 0.000) and S at (0.000, 0.000, 0.500).

Entry 17:
Na2Zr2TiS6 | PBE | relaxed

Its uncorrected formation energy is -1477 meV per atom.

The structure belongs to space group C2/m (No. 12); the cell edges are 6.256, 10.800 and 7.240 Å and the angles 90.00°, 107.12° and 90.00°. Symmetry generates all atoms from Na at (0.000, 0.170, 0.000), Zr at (0.000, 0.333, 0.500), Ti at (0.000, 0.000, 0.500), S at (0.236, 0.160, 0.717) and S at (0.248, 0.000, 0.285).

Entry 18:
Na4Zr3TiS8 | PBE | relaxed

Its uncorrected formation energy is -1453 meV per atom.

The structure belongs to space group R-3m (No. 166, hexagonal axes); the cell edges are 7.3190, 7.3190 and 20.4583 Å and the angles 90.00°, 90.00° and 120.00°. Symmetry generates all atoms from Na at (0.0000, 0.0000, 0.0000), Na at (0.0000, 0.5000, 0.0000), Zr at (0.0000, 0.5000, 0.5000), Ti at (0.0000, 0.0000, 0.5000), S at (0.0000, 0.0000, 0.2423) and S at (0.0082, 0.5041, 0.2402).

Entry 19:
Na2ZrTi2S6 | PBE | relaxed

Its uncorrected formation energy is -1424 meV per atom.

The structure belongs to space group C2/m (No. 12); the cell edges are 6.118, 10.644 and 7.191 Å and the angles 90.00°, 106.09° and 90.00°. Symmetry generates all atoms from Na at (0.000, 0.163, 0.000), Zr at (0.000, 0.000, 0.500), Ti at (0.000, 0.333, 0.500), S at (0.221, 0.500, 0.712) and S at (0.242, 0.173, 0.712).

Entry 20:
Na3ZrTi3S8 | PBE | relaxed

Its uncorrected formation energy is -1400 meV per atom.

The structure belongs to space group R-3m (No. 166, hexagonal axes); the cell edges are 7.0781, 7.0781 and 20.4633 Å and the angles 90.00°, 90.00° and 120.00°. Symmetry generates all atoms from Na at (0.0000, 0.5000, 0.0000), Zr at (0.0000, 0.0000, 0.5000), Ti at (0.0000, 0.5000, 0.5000), S at (0.0000, 0.0000, 0.2368) and S at (0.0130, 0.5065, 0.7617).

Entry 21:
NaTl2S | PBE | relaxed

Its uncorrected formation energy is -315 meV per atom.

The structure belongs to space group P4/mmm (No. 123); the cell edges are 4.584, 4.584 and 4.964 Å and the angles 90.00°, 90.00° and 90.00°. Symmetry generates all atoms from Na at (0.000, 0.000, 0.000), Tl at (0.000, 0.500, 0.500) and S at (0.500, 0.500, 0.000).